# 1
An optimized crystal structure of Tl2FeIrO6, computed with PBE with a Hubbard U.

Cell and atoms, written as POSCAR:
```
Tl2FeIrO6
1.0
-2.2634 3.1764 4.0589
-2.3057 -2.4336 4.5222
2.4289 0.3906 4.9522
O Tl Ir Fe
6 2 1 1
direct
0.1657 0.9737 0.2984
0.0717 0.4666 0.8029
0.9737 0.5623 0.2983
0.4667 0.6587 0.8030
0.5622 0.1657 0.2984
0.6588 0.0715 0.8031
0.5707 0.5708 0.2878
0.0602 0.0601 0.8195
0.3161 0.3161 0.0516
0.8159 0.8159 0.5523
```

Results
SG ... R3 (146)



# 2
An optimized crystal structure of TlFeIrO6, computed with PBE with a Hubbard U.

Cell and atoms, written as POSCAR:
```
TlFeIrO6
1.0
-3.4555 2.0520 3.3702
-4.1215 -2.8335 1.5792
2.5510 -1.6823 3.6396
O Fe Tl Ir
6 1 1 1
direct
0.3640 0.6271 0.2749
0.3639 0.0088 0.7249
0.6271 0.3640 0.7251
0.0089 0.6272 0.7249
0.0088 0.3639 0.2750
0.6271 0.0090 0.2751
0.6667 0.6667 0.5000
0.0000 0.0000 0.0000
0.3333 0.3334 0.5000
```

Results
SG ... P312 (149)



# 3
An optimized crystal structure of UFeIrO6, computed with PBE with a Hubbard U.

Cell and atoms, written as POSCAR:
```
UFeIrO6
1.0
5.3166 0.0000 0.0000
-2.6583 4.6043 0.0000
0.0000 0.0000 8.7124
O Ir Fe U
12 2 2 2
direct
0.6754 0.0072 0.8734
0.3246 0.3317 0.3734
0.3317 0.3246 0.8734
0.3317 0.0072 0.6266
0.6683 0.9928 0.3734
0.9928 0.6683 0.8734
0.9928 0.3246 0.6266
0.6754 0.6683 0.6266
0.0072 0.3317 0.1266
0.0072 0.6754 0.3734
0.3246 0.9928 0.1266
0.6683 0.6754 0.1266
0.0000 0.0000 0.0000
0.0000 0.0000 0.5000
0.6667 0.3333 0.7500
0.3333 0.6667 0.2500
0.6667 0.3333 0.2500
0.3333 0.6667 0.7500
```

Results
SG ... P-31c (163)



no.,E (hartree per atom)
1,-0.210
2,-0.221
3,-0.293